# CePu2Zn2Sn2 (PBE, optimized geometry)
# D(E_F) = 2.644 states/eV per atom
# density = 9.65 g/cm³
# formation energy = -0.223 eV/atom
# M_tot = 13.2 μB/f.u.
data_CePu2Zn2Sn2
_space_group_name_H-M_alt 'P 1'
_space_group_IT_number 1
_space_group_name_Hall 'P 1'
_cell_length_a 4.7020
_cell_length_b 4.7020
_cell_length_c 9.3575
_cell_angle_alpha 75.45
_cell_angle_beta 75.45
_cell_angle_gamma 60.00
loop_
_atom_site_label
_atom_site_type_symbol
_atom_site_fract_x
_atom_site_fract_y
_atom_site_fract_z
Sn1 Sn 0.2649 0.2649 0.2052
Sn2 Sn 0.7351 0.7351 0.7948
Zn1 Zn 0.4262 0.4262 0.7213
Zn2 Zn 0.5738 0.5738 0.2787
Pu1 Pu 0.1432 0.1432 0.5704
Pu2 Pu 0.8568 0.8568 0.4296
Ce1 Ce 0.0000 0.0000 0.0000

---

# Zn2AgIrN (PBE, optimized geometry)
# D(E_F) = 0.533 states/eV per atom
# density = 6.09 g/cm³
# formation energy without anion corrections = 1543 meV per atom
# M_tot = 2.7 μB/f.u.
data_Zn2AgIrN
_space_group_name_H-M_alt 'P 1'
_space_group_IT_number 1
_space_group_name_Hall 'P 1'
_cell_length_a 4.8126
_cell_length_b 5.2363
_cell_length_c 4.8126
_cell_angle_alpha 90.00
_cell_angle_beta 90.00
_cell_angle_gamma 90.00
loop_
_atom_site_label
_atom_site_type_symbol
_atom_site_fract_x
_atom_site_fract_y
_atom_site_fract_z
Zn1 Zn 0.0000 0.0000 0.5000
Zn2 Zn 0.5000 0.0000 0.0000
N1 N 0.5000 0.5000 0.5000
Ir1 Ir 0.0000 0.0000 0.0000
Ag1 Ag 0.0000 0.5000 0.0000

---

Repeat the second record exactly.
# Zn2AgIrN (PBE, optimized geometry)
# D(E_F) = 0.533 states/eV per atom
# density = 6.09 g/cm³
# formation energy without anion corrections = 1543 meV per atom
# M_tot = 2.7 μB/f.u.
data_Zn2AgIrN
_space_group_name_H-M_alt 'P 1'
_space_group_IT_number 1
_space_group_name_Hall 'P 1'
_cell_length_a 4.8126
_cell_length_b 5.2363
_cell_length_c 4.8126
_cell_angle_alpha 90.00
_cell_angle_beta 90.00
_cell_angle_gamma 90.00
loop_
_atom_site_label
_atom_site_type_symbol
_atom_site_fract_x
_atom_site_fract_y
_atom_site_fract_z
Zn1 Zn 0.0000 0.0000 0.5000
Zn2 Zn 0.5000 0.0000 0.0000
N1 N 0.5000 0.5000 0.5000
Ir1 Ir 0.0000 0.0000 0.0000
Ag1 Ag 0.0000 0.5000 0.0000